No. 1
An optimized crystal structure of LiPuIn, computed with PBE.

Output
Mass density in g/cm³: 9.07
Energy relative to the lowest polymorph listed for this composition in meV per atom: 0.0
Energy of formation in eV per atom: -0.152

```
data_LiPuIn
_chemical_formula_sum 'Li2 Pu2 In2'
_cell_length_a 5.1214
_cell_length_b 5.1214
_cell_length_c 5.8942
_cell_angle_alpha 90.00
_cell_angle_beta 90.00
_cell_angle_gamma 120.00
_space_group_name_H-M_alt 'P 1'
_space_group_IT_number 1
_space_group_name_Hall 'P 1'
loop_
_atom_site_label
_atom_site_fract_x
_atom_site_fract_y
_atom_site_fract_z
Li1 0.3333 0.6667 0.2500
Li2 0.6667 0.3333 0.7500
Pu1 0.0000 0.0000 0.0000
Pu2 0.0000 0.0000 0.5000
In1 0.3333 0.6667 0.7500
In2 0.6667 0.3333 0.2500
```



No. 2
An optimized crystal structure of LiPuIn, computed with PBE.

Output
Mass density in g/cm³: 8.85
Energy relative to the lowest polymorph listed for this composition in meV per atom: 34.6
Energy of formation in eV per atom: -0.118

```
data_LiPuIn
_chemical_formula_sum 'Li1 Pu1 In1'
_cell_length_a 5.1240
_cell_length_b 5.1240
_cell_length_c 3.0197
_cell_angle_alpha 90.00
_cell_angle_beta 90.00
_cell_angle_gamma 120.00
_space_group_name_H-M_alt 'P 1'
_space_group_IT_number 1
_space_group_name_Hall 'P 1'
loop_
_atom_site_label
_atom_site_fract_x
_atom_site_fract_y
_atom_site_fract_z
Li1 0.0000 0.0000 0.0000
Pu1 0.6667 0.3333 0.5000
In1 0.3333 0.6667 0.0000
```



No. 3
An optimized crystal structure of Li4PuIn5, computed with PBE.

Output
Mass density in g/cm³: 6.71
Energy of formation in eV per atom: -0.256

```
data_Li4PuIn5
_chemical_formula_sum 'Li4 Pu1 In5'
_cell_length_a 3.2317
_cell_length_b 3.7324
_cell_length_c 17.3475
_cell_angle_alpha 90.00
_cell_angle_beta 90.00
_cell_angle_gamma 90.00
_space_group_name_H-M_alt 'P 1'
_space_group_IT_number 1
_space_group_name_Hall 'P 1'
loop_
_atom_site_label
_atom_site_fract_x
_atom_site_fract_y
_atom_site_fract_z
Li1 0.0000 0.0000 0.0941
Li2 0.0000 0.0000 0.2793
Li3 0.0000 0.0000 0.7207
Li4 0.0000 0.0000 0.9059
Pu1 0.0000 0.0000 0.5000
In1 0.5000 0.5000 0.0000
In2 0.5000 0.5000 0.1871
In3 0.5000 0.5000 0.3721
In4 0.5000 0.5000 0.6279
In5 0.5000 0.5000 0.8129
```



No. 4
An optimized crystal structure of Li2PuIn9, computed with PBE.

Output
Mass density in g/cm³: 7.37
Energy of formation in eV per atom: -0.145

```
data_Li2PuIn9
_chemical_formula_sum 'Li2 Pu1 In9'
_cell_length_a 4.5748
_cell_length_b 4.5748
_cell_length_c 13.8914
_cell_angle_alpha 90.00
_cell_angle_beta 90.00
_cell_angle_gamma 90.00
_space_group_name_H-M_alt 'P 1'
_space_group_IT_number 1
_space_group_name_Hall 'P 1'
loop_
_atom_site_label
_atom_site_fract_x
_atom_site_fract_y
_atom_site_fract_z
Li1 0.0000 0.0000 0.1719
Li2 0.0000 0.0000 0.8281
Pu1 0.0000 0.0000 0.5000
In1 0.0000 0.5000 0.0000
In2 0.0000 0.5000 0.3269
In3 0.0000 0.5000 0.6731
In4 0.5000 0.0000 0.0000
In5 0.5000 0.0000 0.3269
In6 0.5000 0.0000 0.6731
In7 0.5000 0.5000 0.1665
In8 0.5000 0.5000 0.5000
In9 0.5000 0.5000 0.8335
```



No. 5
An optimized crystal structure of LiPuIn, computed with PBE.

Output
Mass density in g/cm³: 9.99
Energy relative to the lowest polymorph listed for this composition in meV per atom: 103.1
Energy of formation in eV per atom: -0.049

```
data_LiPuIn
_chemical_formula_sum 'Li2 Pu2 In2'
_cell_length_a 5.1973
_cell_length_b 5.1973
_cell_length_c 7.4464
_cell_angle_alpha 103.89
_cell_angle_beta 103.89
_cell_angle_gamma 38.69
_space_group_name_H-M_alt 'P 1'
_space_group_IT_number 1
_space_group_name_Hall 'P 1'
loop_
_atom_site_label
_atom_site_fract_x
_atom_site_fract_y
_atom_site_fract_z
Li1 0.1729 0.1729 0.0866
Li2 0.8271 0.8271 0.9134
Pu1 0.1837 0.1837 0.5397
Pu2 0.8163 0.8163 0.4603
In1 0.4807 0.4807 0.2109
In2 0.5193 0.5193 0.7891
```



No. 6
An optimized crystal structure of LiPuInRh, computed with PBE.

Output
Mass density in g/cm³: 10.04
Energy of formation in eV per atom: -0.309

```
data_LiPuInRh
_chemical_formula_sum 'Li1 Pu1 In1 Rh1'
_cell_length_a 4.7862
_cell_length_b 4.7862
_cell_length_c 4.7862
_cell_angle_alpha 60.00
_cell_angle_beta 60.00
_cell_angle_gamma 60.00
_space_group_name_H-M_alt 'P 1'
_space_group_IT_number 1
_space_group_name_Hall 'P 1'
loop_
_atom_site_label
_atom_site_fract_x
_atom_site_fract_y
_atom_site_fract_z
Li1 0.0000 0.0000 0.0000
Pu1 0.2500 0.2500 0.2500
In1 0.7500 0.7500 0.7500
Rh1 0.5000 0.5000 0.5000
```



What is the formula in the fifth record?
LiPuIn



Repeat the first record exactly.
An optimized crystal structure of LiPuIn, computed with PBE.

Output
Mass density in g/cm³: 9.07
Energy relative to the lowest polymorph listed for this composition in meV per atom: 0.0
Energy of formation in eV per atom: -0.152

```
data_LiPuIn
_chemical_formula_sum 'Li2 Pu2 In2'
_cell_length_a 5.1214
_cell_length_b 5.1214
_cell_length_c 5.8942
_cell_angle_alpha 90.00
_cell_angle_beta 90.00
_cell_angle_gamma 120.00
_space_group_name_H-M_alt 'P 1'
_space_group_IT_number 1
_space_group_name_Hall 'P 1'
loop_
_atom_site_label
_atom_site_fract_x
_atom_site_fract_y
_atom_site_fract_z
Li1 0.3333 0.6667 0.2500
Li2 0.6667 0.3333 0.7500
Pu1 0.0000 0.0000 0.0000
Pu2 0.0000 0.0000 0.5000
In1 0.3333 0.6667 0.7500
In2 0.6667 0.3333 0.2500
```